ZnIn2P (PBE, optimized geometry); SG = Cmmm (65); ΔH_f (0 K) = 229 meV per atom; E_tot = -0.10331 hartree per atom; E above lowest polymorph = 204.6 meV/atom
1.0
2.159 -2.634 0.000
2.159 2.634 0.000
0.000 0.000 7.732
Zn In P
1 2 1
Direct
0.500 0.500 0.000
0.000 0.000 0.269
0.000 0.000 0.731
0.500 0.500 0.500

ZnInP (PBE, optimized geometry); SG = Fmm2 (42); ΔH_f (0 K) = 263 meV per atom; E_tot = -0.10577 hartree per atom; E above lowest polymorph = 333.9 meV/atom
1.0
3.027 -2.897 4.755
-0.219 -3.546 4.925
1.500 -2.735 -1.121
In Zn P
1 1 1
Direct
0.003 0.003 0.997
0.310 0.310 0.690
0.687 0.687 0.313

ZnInP2 (PBE, optimized geometry); SG = P2/m (10); ΔH_f (0 K) = 93 meV per atom; E_tot = -0.13285 hartree per atom
1.0
3.698 0.000 0.000
0.000 4.382 -0.142
0.000 1.587 4.925
P In Zn
2 1 1
Direct
0.000 0.536 0.419
0.000 0.964 0.081
0.500 0.750 0.750
0.500 0.250 0.250